# Sc2MoP

A crystal of Sc2MoP relaxed with PBEsol (SCAN, Alexandria via LeMat-Bulk).

Values from the calculation:
- DOS(E_F) (states/eV per cell) = 5.86
- calculated density (g cm⁻³) = 5.2
- spin magnetization (μB/cell) = 0.0
- formation energy from the elements (eV/atom) = -0.3720
- VASP energy (eV/f.u.) = -75.25

Cell lengths 3.6493, 4.8487, 7.8066 Å; angles 90.00, 90.00, 90.00 degrees
With the nearest neighbours (Å) after each atom.
Space group Cmmm (No. 65)
One atom of each set of equivalent atoms:
1 Sc 0.0000 0.0000 0.2308  2 P 2.56, 2 Mo 2.78
2 Mo 0.0000 0.5000 0.5000  4 Sc 2.78, 4 Mo 3.03
3 P 0.0000 0.5000 0.0000  4 Sc 2.56



# Ba3TlFe

A crystal of Ba3TlFe relaxed with PBEsol (SCAN, Alexandria via LeMat-Bulk).

Values from the calculation:
- DOS(E_F) (states/eV per cell) = 5.22
- calculated density (g cm⁻³) = 6.0
- spin magnetization (μB/cell) = 2.2
- formation energy from the elements (eV/atom) = 0.2528
- VASP energy (eV/f.u.) = -207.87

Cell lengths 5.7235, 5.7235, 5.7235 Å; angles 90.00, 90.00, 90.00 degrees
With the nearest neighbours (Å) after each atom.
Space group Pm-3m (No. 221)
One atom of each set of equivalent atoms:
1 Ba 0.0000 0.0000 0.5000  2 Fe 2.86
2 Tl 0.5000 0.5000 0.5000  12 Ba 4.05
3 Fe 0.0000 0.0000 0.0000  6 Ba 2.86



# Zr2P3H4NO12

A crystal of Zr2P3H4NO12 relaxed with PBEsol (SCAN, Alexandria via LeMat-Bulk).

Values from the calculation:
- DOS(E_F) (states/eV per cell) = 0.00
- calculated density (g cm⁻³) = 3.0
- spin magnetization (μB/cell) = 0.0
- VASP energy (eV/f.u.) = -244.47

Cell lengths 8.7280, 8.7280, 24.3996 Å; angles 90.00, 90.00, 120.00 degrees
With the nearest neighbours (Å) after each atom.
Space group R3c (No. 161, hexagonal axes)
One atom of each set of equivalent atoms:
1 Zr 0.0000 0.0000 0.0000  6 O 2.07-2.08
2 Zr 0.0000 0.0000 0.1990  6 O 2.06-2.07
3 P 0.0502 0.3804 0.2667  4 O 1.53-1.54
4 H 0.0000 0.0000 0.3120  1 N 1.03
5 H 0.1256 0.0454 0.8700  1 N 1.03
6 N 0.0000 0.0000 0.3543  4 H 1.03
7 O 0.0272 0.1991 0.2514  1 P 1.54
8 O 0.0488 0.2117 0.5498  1 P 1.54
9 O 0.1575 0.4644 0.6152  1 P 1.54
10 O 0.1743 0.4540 0.3163  1 P 1.53



# LaCdOs2

A crystal of LaCdOs2 relaxed with PBEsol (SCAN, Alexandria via LeMat-Bulk).

Values from the calculation:
- DOS(E_F) (states/eV per cell) = 8.89
- calculated density (g cm⁻³) = 14.0
- spin magnetization (μB/cell) = 3.3
- formation energy from the elements (eV/atom) = 0.7167
- VASP energy (eV/f.u.) = -214.41

Cell lengths 4.2854, 4.2854, 8.1576 Å; angles 90.00, 90.00, 90.00 degrees
With the nearest neighbours (Å) after each atom.
Space group I-4m2 (No. 119)
One atom of each set of equivalent atoms:
1 La 0.0000 0.0000 0.0000  4 Cd 2.96, 8 Os 2.96-3.03
2 Cd 0.0000 0.5000 0.7500  4 La 2.96, 8 Os 2.96-3.03
3 Os 0.0000 0.0000 0.5000  4 Cd 2.96, 4 Os 2.96, 4 La 3.03
4 Os 0.0000 0.5000 0.2500  4 La 2.96, 4 Os 2.96, 4 Cd 3.03